A plane-wave DFT calculation with PBE was carried out for TcAs2Os after structural relaxation.

Computed properties:
Energy relative to the elements, kcal/mol of atoms: 2.59
Symmetry: No. 160
Total DFT energy (no corrections), eV/atom: -7.61
Total magnetization, μB per formula unit: 0.00
Relative energy among the computed polymorphs, meV/atom: 84

Lattice parameters (Å, degrees): 10.335 10.335 10.335 16.19 16.19 16.19
Positions (direct):
Tc1 0.756 0.756 0.756
Os1 0.495 0.495 0.495
As1 0.026 0.026 0.026
As2 0.223 0.223 0.223